VInF2 | PBE+U | optimized geometry

The structure in extended XYZ format:
```
4
Lattice="1.6520 0.9538 9.0189 -1.6520 0.9538 9.0189 0.0000 -1.9076 9.0189" Properties=species:S:1:pos:R:3 pbc="T T T"
V 0.0000 0.0000 0.0000
In 0.0000 0.0000 13.5283
F 0.0000 0.0000 9.9819
F 0.0000 0.0000 17.0747
```

Calculated density = 3.97 g/cm3
DFT total energy = -5.274 eV/atom
Space-group type = No. 166